## a
Compound: NiW2Cl
Source: Alexandria
Functional: meta-GGA SCAN
Structure: single point on PBEsol structure

Properties
crystal system	tetragonal
SG	P4mm

```
data_NiW2Cl
_cell_length_a 2.776
_cell_length_b 2.776
_cell_length_c 8.121
_cell_angle_alpha 90.00
_cell_angle_beta 90.00
_cell_angle_gamma 90.00
_space_group_name_H-M_alt 'P 1'
_space_group_IT_number 1
loop_
_space_group_symop_operation_xyz
'x,y,z'
loop_
_atom_site_label
_atom_site_fract_x
_atom_site_fract_y
_atom_site_fract_z
Cl1 0.000 0.000 0.458
Ni1 0.500 0.500 0.795
W1 0.000 0.000 0.992
W2 0.500 0.500 0.254
```

## b
Compound: NiW2Cl
Source: Alexandria
Functional: meta-GGA SCAN
Structure: single point on PBEsol structure

Properties
crystal system	tetragonal
SG	I4/mmm

```
data_NiW2Cl
_cell_length_a 4.243
_cell_length_b 4.243
_cell_length_c 4.237
_cell_angle_alpha 120.05
_cell_angle_beta 120.05
_cell_angle_gamma 90.00
_space_group_name_H-M_alt 'P 1'
_space_group_IT_number 1
loop_
_space_group_symop_operation_xyz
'x,y,z'
loop_
_atom_site_label
_atom_site_fract_x
_atom_site_fract_y
_atom_site_fract_z
Cl1 0.500 0.500 0.000
Ni1 0.000 0.000 0.000
W1 0.750 0.250 0.500
W2 0.250 0.750 0.500
```

Short version: b is the least stable of them.

## a
Compound: YNiCl2
Source: Alexandria
Functional: meta-GGA SCAN
Structure: single point on PBEsol structure

Properties
crystal system	tetragonal
SG	P4mm

```
data_YNiCl2
_cell_length_a 3.362
_cell_length_b 3.362
_cell_length_c 7.099
_cell_angle_alpha 90.00
_cell_angle_beta 90.00
_cell_angle_gamma 90.00
_space_group_name_H-M_alt 'P 1'
_space_group_IT_number 1
loop_
_space_group_symop_operation_xyz
'x,y,z'
loop_
_atom_site_label
_atom_site_fract_x
_atom_site_fract_y
_atom_site_fract_z
Y1 0.500 0.500 0.715
Ni1 0.000 0.000 0.489
Cl1 0.000 0.000 0.947
Cl2 0.500 0.500 0.349
```

## b
Compound: YNiCl2
Source: Alexandria
Functional: meta-GGA SCAN
Structure: single point on PBEsol structure

Properties
crystal system	tetragonal
SG	I4/mmm

```
data_YNiCl2
_cell_length_a 4.329
_cell_length_b 4.808
_cell_length_c 4.329
_cell_angle_alpha 116.75
_cell_angle_beta 90.00
_cell_angle_gamma 116.75
_space_group_name_H-M_alt 'P 1'
_space_group_IT_number 1
loop_
_space_group_symop_operation_xyz
'x,y,z'
loop_
_atom_site_label
_atom_site_fract_x
_atom_site_fract_y
_atom_site_fract_z
Y1 0.000 0.000 0.000
Ni1 0.500 0.000 0.500
Cl1 0.750 0.500 0.250
Cl2 0.250 0.500 0.750
```

## c
Compound: YNiCl2
Source: Alexandria
Functional: meta-GGA SCAN
Structure: single point on PBEsol structure

Properties
crystal system	cubic
SG	F-43m

```
data_YNiCl2
_cell_length_a 4.680
_cell_length_b 4.680
_cell_length_c 4.680
_cell_angle_alpha 60.00
_cell_angle_beta 60.00
_cell_angle_gamma 60.00
_space_group_name_H-M_alt 'P 1'
_space_group_IT_number 1
loop_
_space_group_symop_operation_xyz
'x,y,z'
loop_
_atom_site_label
_atom_site_fract_x
_atom_site_fract_y
_atom_site_fract_z
Y1 0.250 0.250 0.250
Ni1 0.500 0.500 0.500
Cl1 0.000 0.000 0.000
Cl2 0.750 0.750 0.750
```

Short version: c is the least stable of them.

## a
Compound: ZnNi2Cl
Source: Alexandria
Functional: meta-GGA SCAN
Structure: single point on PBEsol structure

Properties
crystal system	cubic
SG	F-43m

```
data_ZnNi2Cl
_cell_length_a 4.187
_cell_length_b 4.187
_cell_length_c 4.187
_cell_angle_alpha 60.00
_cell_angle_beta 60.00
_cell_angle_gamma 60.00
_space_group_name_H-M_alt 'P 1'
_space_group_IT_number 1
loop_
_space_group_symop_operation_xyz
'x,y,z'
loop_
_atom_site_label
_atom_site_fract_x
_atom_site_fract_y
_atom_site_fract_z
Cl1 0.500 0.500 0.500
Ni1 0.000 0.000 0.000
Ni2 0.250 0.250 0.250
Zn1 0.750 0.750 0.750
```

## b
Compound: ZnNi2Cl
Source: Alexandria
Functional: meta-GGA SCAN
Structure: single point on PBEsol structure

Properties
crystal system	tetragonal
SG	P4mm

```
data_ZnNi2Cl
_cell_length_a 3.067
_cell_length_b 3.067
_cell_length_c 5.936
_cell_angle_alpha 90.00
_cell_angle_beta 90.00
_cell_angle_gamma 90.00
_space_group_name_H-M_alt 'P 1'
_space_group_IT_number 1
loop_
_space_group_symop_operation_xyz
'x,y,z'
loop_
_atom_site_label
_atom_site_fract_x
_atom_site_fract_y
_atom_site_fract_z
Cl1 0.500 0.500 0.845
Ni1 0.000 0.000 0.005
Ni2 0.500 0.500 0.230
Zn1 0.000 0.000 0.420
```

## c
Compound: ZnNi2Cl
Source: Alexandria
Functional: meta-GGA SCAN
Structure: single point on PBEsol structure

Properties
crystal system	trigonal
SG	R-3m

```
data_ZnNi2Cl
_cell_length_a 2.855
_cell_length_b 2.855
_cell_length_c 7.387
_cell_angle_alpha 78.86
_cell_angle_beta 78.86
_cell_angle_gamma 60.00
_space_group_name_H-M_alt 'P 1'
_space_group_IT_number 1
loop_
_space_group_symop_operation_xyz
'x,y,z'
loop_
_atom_site_label
_atom_site_fract_x
_atom_site_fract_y
_atom_site_fract_z
Cl1 0.000 0.000 0.000
Ni1 0.252 0.252 0.244
Ni2 0.748 0.748 0.756
Zn1 0.500 0.500 0.500
```

Short version: a is the least stable of them.

## a
Compound: ZnNiCl2
Source: Alexandria
Functional: meta-GGA SCAN
Structure: single point on PBEsol structure

Properties
crystal system	orthorhombic
SG	Imm2

```
data_ZnNiCl2
_cell_length_a 3.048
_cell_length_b 3.484
_cell_length_c 7.295
_cell_angle_alpha 103.81
_cell_angle_beta 102.06
_cell_angle_gamma 90.00
_space_group_name_H-M_alt 'P 1'
_space_group_IT_number 1
loop_
_space_group_symop_operation_xyz
'x,y,z'
loop_
_atom_site_label
_atom_site_fract_x
_atom_site_fract_y
_atom_site_fract_z
Ni1 0.541 0.541 0.082
Zn1 0.183 0.683 0.366
Cl1 0.008 0.008 0.016
Cl2 0.768 0.268 0.536
```

## b
Compound: ZnNiCl2
Source: Alexandria
Functional: meta-GGA SCAN
Structure: single point on PBEsol structure

Properties
crystal system	orthorhombic
SG	Cmm2

```
data_ZnNiCl2
_cell_length_a 3.185
_cell_length_b 3.386
_cell_length_c 8.169
_cell_angle_alpha 90.00
_cell_angle_beta 90.00
_cell_angle_gamma 118.05
_space_group_name_H-M_alt 'P 1'
_space_group_IT_number 1
loop_
_space_group_symop_operation_xyz
'x,y,z'
loop_
_atom_site_label
_atom_site_fract_x
_atom_site_fract_y
_atom_site_fract_z
Ni1 0.000 0.000 0.506
Zn1 0.500 0.000 0.731
Cl1 0.000 0.000 0.931
Cl2 0.500 0.000 0.332
```

Short version: a is the least stable of them.

## a
Compound: ZnNiCl2
Source: Alexandria
Functional: meta-GGA SCAN
Structure: single point on PBEsol structure

Properties
crystal system	orthorhombic
SG	Immm

```
data_ZnNiCl2
_cell_length_a 3.269
_cell_length_b 3.797
_cell_length_c 6.617
_cell_angle_alpha 106.67
_cell_angle_beta 104.30
_cell_angle_gamma 90.00
_space_group_name_H-M_alt 'P 1'
_space_group_IT_number 1
loop_
_space_group_symop_operation_xyz
'x,y,z'
loop_
_atom_site_label
_atom_site_fract_x
_atom_site_fract_y
_atom_site_fract_z
Ni1 0.500 0.000 0.000
Zn1 0.000 0.500 0.000
Cl1 0.861 0.861 0.721
Cl2 0.139 0.139 0.279
```

## b
Compound: ZnNiCl2
Source: Alexandria
Functional: meta-GGA SCAN
Structure: single point on PBEsol structure

Properties
crystal system	cubic
SG	F-43m

```
data_ZnNiCl2
_cell_length_a 4.488
_cell_length_b 4.488
_cell_length_c 4.488
_cell_angle_alpha 60.00
_cell_angle_beta 60.00
_cell_angle_gamma 60.00
_space_group_name_H-M_alt 'P 1'
_space_group_IT_number 1
loop_
_space_group_symop_operation_xyz
'x,y,z'
loop_
_atom_site_label
_atom_site_fract_x
_atom_site_fract_y
_atom_site_fract_z
Ni1 0.500 0.500 0.500
Zn1 0.250 0.250 0.250
Cl1 0.000 0.000 0.000
Cl2 0.750 0.750 0.750
```

## c
Compound: ZnNiCl2
Source: Alexandria
Functional: meta-GGA SCAN
Structure: single point on PBEsol structure

Properties
crystal system	monoclinic
SG	C2/m

```
data_ZnNiCl2
_cell_length_a 4.594
_cell_length_b 4.604
_cell_length_c 4.604
_cell_angle_alpha 93.96
_cell_angle_beta 117.68
_cell_angle_gamma 117.68
_space_group_name_H-M_alt 'P 1'
_space_group_IT_number 1
loop_
_space_group_symop_operation_xyz
'x,y,z'
loop_
_atom_site_label
_atom_site_fract_x
_atom_site_fract_y
_atom_site_fract_z
Ni1 0.500 0.500 0.500
Zn1 0.500 0.000 0.000
Cl1 0.000 0.500 0.000
Cl2 0.000 0.000 0.500
```

Short version: b is the least stable of them.

## a
Compound: Zr2NiCl
Source: Alexandria
Functional: meta-GGA SCAN
Structure: single point on PBEsol structure

Properties
crystal system	orthorhombic
SG	Pmmm

```
data_Zr2NiCl
_cell_length_a 3.192
_cell_length_b 4.126
_cell_length_c 5.200
_cell_angle_alpha 90.00
_cell_angle_beta 90.00
_cell_angle_gamma 90.00
_space_group_name_H-M_alt 'P 1'
_space_group_IT_number 1
loop_
_space_group_symop_operation_xyz
'x,y,z'
loop_
_atom_site_label
_atom_site_fract_x
_atom_site_fract_y
_atom_site_fract_z
Ni1 0.875 0.500 0.500
Zr1 0.875 0.500 0.000
Zr2 0.375 0.000 0.500
Cl1 0.375 0.000 0.000
```

## b
Compound: Zr2NiCl
Source: Alexandria
Functional: meta-GGA SCAN
Structure: single point on PBEsol structure

Properties
crystal system	cubic
SG	Fm-3m

```
data_Zr2NiCl
_cell_length_a 4.545
_cell_length_b 4.545
_cell_length_c 4.545
_cell_angle_alpha 60.00
_cell_angle_beta 60.00
_cell_angle_gamma 60.00
_space_group_name_H-M_alt 'P 1'
_space_group_IT_number 1
loop_
_space_group_symop_operation_xyz
'x,y,z'
loop_
_atom_site_label
_atom_site_fract_x
_atom_site_fract_y
_atom_site_fract_z
Ni1 0.500 0.500 0.500
Zr1 0.250 0.250 0.250
Zr2 0.750 0.750 0.750
Cl1 0.000 0.000 0.000
```

Short version: b is the least stable of them.